[1]
## Ho4Er3TmS8 (PBE-GGA)

Data for crystalline Ho4Er3TmS8 at its relaxed geometry.

Computed properties:
* SG: R-3m, No. 166
* calculated total energy: -100.80 eV/cell
* ΔE_f (raw): -1.957 eV/atom
* calculated volume: 328.2 Å³ per cell

abc: 7.746 7.746 7.746
angles: 59.95 59.95 59.95
Sites, in units of the cell vectors:
Ho (0.000, 0.000, 0.000)
Ho (0.000, 0.500, 0.500)
Ho (0.500, 0.000, 0.500)
Ho (0.500, 0.500, 0.000)
Er (0.000, 0.000, 0.500)
Er (0.000, 0.500, 0.000)
Er (0.500, 0.000, 0.000)
Tm (0.500, 0.500, 0.500)
S (0.249, 0.249, 0.249)
S (0.250, 0.749, 0.749)
S (0.251, 0.251, 0.750)
S (0.251, 0.750, 0.251)
S (0.749, 0.250, 0.749)
S (0.749, 0.749, 0.250)
S (0.750, 0.251, 0.251)
S (0.751, 0.751, 0.751)

---

[2]
## YHo4ErS8 (PBE-GGA)

Data for crystalline YHo4ErS8 at its relaxed geometry.

Computed properties:
* SG: R3m, No. 160
* calculated total energy: -89.38 eV/cell
* ΔE_f (raw): -1.930 eV/atom
* calculated volume: 363.5 Å³ per cell

abc: 8.009 8.009 8.009
angles: 60.03 60.03 60.03
Sites, in units of the cell vectors:
Y (0.000, 0.000, 0.000)
Ho (0.125, 0.625, 0.625)
Ho (0.250, 0.250, 0.250)
Ho (0.625, 0.125, 0.625)
Ho (0.625, 0.625, 0.125)
Er (0.625, 0.625, 0.625)
S (0.382, 0.382, 0.382)
S (0.383, 0.383, 0.852)
S (0.383, 0.852, 0.383)
S (0.400, 0.866, 0.866)
S (0.852, 0.383, 0.383)
S (0.866, 0.400, 0.866)
S (0.866, 0.866, 0.400)
S (0.867, 0.867, 0.867)

---

[3]
## Y3HoEr2S6 (PBE-GGA)

Data for crystalline Y3HoEr2S6 at its relaxed geometry.

Computed properties:
* SG: C2/m, No. 12
* calculated total energy: -81.65 eV/cell
* ΔE_f (raw): -1.982 eV/atom
* calculated volume: 250.5 Å³ per cell

abc: 6.749 6.749 6.750
angles: 99.55 99.55 120.21
Sites, in units of the cell vectors:
Y (0.000, 0.000, 0.000)
Y (0.334, 0.666, 0.000)
Y (0.666, 0.334, 0.000)
Ho (0.500, 0.500, 0.500)
Er (0.167, 0.833, 0.500)
Er (0.833, 0.167, 0.500)
S (0.084, 0.418, 0.254)
S (0.247, 0.247, 0.745)
S (0.418, 0.084, 0.254)
S (0.582, 0.916, 0.746)
S (0.753, 0.753, 0.255)
S (0.916, 0.582, 0.746)

---

[4]
## Y4Ho3ErS8 (PBE-GGA)

Data for crystalline Y4Ho3ErS8 at its relaxed geometry.

Computed properties:
* SG: R-3m, No. 166
* calculated total energy: -108.83 eV/cell
* ΔE_f (raw): -1.979 eV/atom
* calculated volume: 335.5 Å³ per cell

abc: 7.804 7.804 7.804
angles: 59.92 59.92 59.92
Sites, in units of the cell vectors:
Y (0.000, 0.000, 0.000)
Y (0.000, 0.500, 0.500)
Y (0.500, 0.000, 0.500)
Y (0.500, 0.500, 0.000)
Ho (0.000, 0.000, 0.500)
Ho (0.000, 0.500, 0.000)
Ho (0.500, 0.000, 0.000)
Er (0.500, 0.500, 0.500)
S (0.249, 0.249, 0.249)
S (0.250, 0.748, 0.748)
S (0.252, 0.252, 0.750)
S (0.252, 0.750, 0.252)
S (0.748, 0.250, 0.748)
S (0.748, 0.748, 0.250)
S (0.750, 0.252, 0.252)
S (0.751, 0.751, 0.751)

---

[5]
## YHo4Er3S8 (PBE-GGA)

Data for crystalline YHo4Er3S8 at its relaxed geometry.

Computed properties:
* SG: R-3m, No. 166
* calculated total energy: -102.92 eV/cell
* ΔE_f (raw): -1.965 eV/atom
* calculated volume: 330.8 Å³ per cell

abc: 7.764 7.764 7.764
angles: 59.98 59.98 59.98
Sites, in units of the cell vectors:
Y (0.000, 0.000, 0.000)
Ho (0.000, 0.000, 0.500)
Ho (0.000, 0.500, 0.000)
Ho (0.500, 0.000, 0.000)
Ho (0.500, 0.500, 0.500)
Er (0.000, 0.500, 0.500)
Er (0.500, 0.000, 0.500)
Er (0.500, 0.500, 0.000)
S (0.251, 0.251, 0.251)
S (0.251, 0.251, 0.747)
S (0.251, 0.747, 0.251)
S (0.253, 0.749, 0.749)
S (0.747, 0.251, 0.251)
S (0.749, 0.253, 0.749)
S (0.749, 0.749, 0.253)
S (0.749, 0.749, 0.749)

---

[6]
## Y2Ho3ErS6 (PBE-GGA)

Data for crystalline Y2Ho3ErS6 at its relaxed geometry.

Computed properties:
* SG: C2/m, No. 12
* calculated total energy: -79.77 eV/cell
* ΔE_f (raw): -1.981 eV/atom
* calculated volume: 249.9 Å³ per cell

abc: 6.745 6.745 6.742
angles: 99.56 99.56 120.21
Sites, in units of the cell vectors:
Y (0.167, 0.833, 0.000)
Y (0.833, 0.167, 0.000)
Ho (0.000, 0.000, 0.500)
Ho (0.332, 0.668, 0.500)
Ho (0.668, 0.332, 0.500)
Er (0.500, 0.500, 0.000)
S (0.086, 0.416, 0.749)
S (0.254, 0.254, 0.252)
S (0.416, 0.086, 0.749)
S (0.584, 0.914, 0.251)
S (0.746, 0.746, 0.748)
S (0.914, 0.584, 0.251)